The following is a GGA+U calculation of crystalline Be3NiO at its relaxed geometry, from Alexandria.

Structure (POSCAR):
```
Be3NiO
1.0
3.880 0.000 0.000
0.000 3.880 0.000
0.000 0.000 3.880
Be Ni O
3 1 1
Direct
0.000 0.000 0.500
0.000 0.500 0.000
0.500 0.000 0.000
0.000 0.000 0.000
0.500 0.500 0.500
```

Properties
Theoretical density ... 2.891 g/cm³
Spin magnetization ... 0.0 μB/cell
E above lowest polymorph ... 29.98 kcal/mol of atoms